#1
Compound: PmScGa
Source: Alexandria via LeMat-Bulk
Functional: PBE
Structure: optimized geometry

```
PmScGa
1.0
4.429 0.000 0.000
0.000 4.429 0.000
0.000 0.000 7.725
Pm Ga Sc
2 2 2
direct
0.500 0.000 0.146 Pm
0.000 0.500 0.854 Pm
0.500 0.000 0.743 Ga
0.000 0.500 0.257 Ga
0.000 0.000 0.500 Sc
0.500 0.500 0.500 Sc
```

Values from the calculation:
SG ... No. 129

=====

#2
Compound: PmScGa
Source: Alexandria via LeMat-Bulk
Functional: PBE
Structure: optimized geometry

```
PmScGa
1.0
3.694 0.000 0.000
0.000 4.855 0.000
0.000 -2.428 4.205
Sc Pm Ga
1 1 1
direct
0.490 0.667 0.333 Sc
0.996 0.000 0.000 Pm
0.514 0.333 0.667 Ga
```

Values from the calculation:
SG ... No. 156

=====

#3
Compound: PmScGa
Source: Alexandria via LeMat-Bulk
Functional: PBE
Structure: optimized geometry

```
PmScGa
1.0
4.885 0.000 0.000
2.443 4.231 0.000
2.443 1.410 3.989
Sc Ga Pm
1 1 1
direct
0.000 0.000 0.000 Sc
0.250 0.250 0.250 Ga
0.500 0.500 0.500 Pm
```

Values from the calculation:
SG ... No. 216

=====

#4
Compound: PmScGa
Source: Alexandria via LeMat-Bulk
Functional: PBE
Structure: optimized geometry

```
PmScGa
1.0
-0.316 3.353 0.435
-3.010 -0.478 1.498
4.560 -1.902 4.707
Ga Sc Pm
1 1 1
direct
0.628 0.628 0.256 Ga
0.258 0.258 0.516 Sc
0.964 0.964 0.928 Pm
```

Values from the calculation:
SG ... No. 107

=====

Stability summary: most stable #1, least stable #3.

=====

#1
Compound: PmSc3Ga2
Source: Alexandria via LeMat-Bulk
Functional: PBE
Structure: optimized geometry

```
PmSc3Ga2
1.0
-4.555 -0.440 0.847
0.783 -6.203 0.985
1.504 1.606 8.920
Ga Pm Sc
4 2 6
direct
0.000 0.778 0.355 Ga
0.500 0.715 0.874 Ga
0.000 0.278 0.645 Ga
0.500 0.215 0.126 Ga
0.500 0.552 0.549 Pm
0.500 0.052 0.451 Pm
0.000 0.334 0.296 Sc
0.000 0.956 0.050 Sc
0.500 0.164 0.822 Sc
0.500 0.664 0.178 Sc
0.000 0.456 0.950 Sc
0.000 0.834 0.704 Sc
```

Values from the calculation:
SG ... No. 26

=====

#2
Compound: PmSc3Ga2
Source: Alexandria via LeMat-Bulk
Functional: PBE
Structure: optimized geometry

```
PmSc3Ga2
1.0
-3.228 -2.178 2.173
7.081 -4.993 0.940
-1.246 7.040 5.204
Sc Ga Pm
6 4 2
direct
0.331 0.661 0.139 Sc
0.669 0.339 0.861 Sc
0.000 0.001 0.332 Sc
0.670 0.340 0.478 Sc
0.330 0.660 0.522 Sc
0.000 0.999 0.668 Sc
0.500 0.000 0.855 Ga
0.201 0.402 0.701 Ga
0.500 0.000 0.145 Ga
0.799 0.598 0.299 Ga
0.128 0.256 0.128 Pm
0.872 0.744 0.872 Pm
```

Values from the calculation:
SG ... No. 12

=====

Stability summary: most stable #1, least stable #2.

=====

#1
Compound: PmScTlGa
Source: Alexandria via LeMat-Bulk
Functional: PBE
Structure: optimized geometry

```
PmScTlGa
1.0
-3.169 -1.669 0.167
0.198 -0.727 -3.506
3.462 -6.420 1.526
Tl Sc Ga Pm
1 1 1 1
direct
0.000 0.000 0.097 Tl
0.500 0.500 0.339 Sc
0.000 0.000 0.546 Ga
0.500 0.500 0.803 Pm
```

Values from the calculation:
SG ... No. 99

=====

#2
Compound: PmScTlGa
Source: Alexandria via LeMat-Bulk
Functional: PBE
Structure: optimized geometry

```
PmScTlGa
1.0
-4.358 2.302 1.521
-4.332 -0.620 -2.730
-3.873 -2.818 1.914
Tl Sc Ga Pm
1 1 1 1
direct
0.000 0.000 0.000 Tl
0.250 0.250 0.250 Sc
0.500 0.500 0.500 Ga
0.750 0.750 0.750 Pm
```

Values from the calculation:
SG ... No. 216

=====

Stability summary: most stable #1, least stable #2.

=====

#1
Compound: Pm2GaSe
Source: Alexandria via LeMat-Bulk
Functional: PBE
Structure: optimized geometry

```
Pm2GaSe
1.0
3.552 0.000 0.000
0.000 3.552 0.000
0.000 0.000 7.836
Pm Ga Se
2 1 1
direct
0.000 0.000 0.744 Pm
0.000 0.000 0.256 Pm
0.500 0.500 0.000 Ga
0.500 0.500 0.500 Se
```

Values from the calculation:
SG ... No. 123

=====

#2
Compound: Pm2GaSe
Source: Alexandria via LeMat-Bulk
Functional: PBE
Structure: optimized geometry

```
Pm2GaSe
1.0
4.074 0.000 0.000
0.000 5.983 0.000
0.000 0.000 8.870
Pm Ga Se
4 2 2
direct
0.500 0.500 0.124 Pm
0.000 0.000 0.876 Pm
0.000 0.000 0.363 Pm
0.500 0.500 0.637 Pm
0.000 0.500 0.378 Ga
0.500 0.000 0.622 Ga
0.000 0.500 0.881 Se
0.500 0.000 0.119 Se
```

Values from the calculation:
SG ... No. 59

=====

Stability summary: most stable #2, least stable #1.

=====

#1
Compound: Pm2GaSe
Source: Alexandria via LeMat-Bulk
Functional: PBE
Structure: optimized geometry

```
Pm2GaSe
1.0
-1.083 -0.611 3.770
2.248 -2.255 2.370
4.503 5.484 4.272
Ga Se Pm
1 1 2
direct
0.667 0.667 0.998 Ga
0.499 0.499 0.503 Se
0.084 0.084 0.748 Pm
0.250 0.250 0.251 Pm
```

Values from the calculation:
SG ... No. 160

=====

#2
Compound: Pm2GaSe
Source: Alexandria via LeMat-Bulk
Functional: PBE
Structure: optimized geometry

```
Pm2GaSe
1.0
-3.649 0.868 -1.639
-0.559 -0.329 -4.041
-3.484 -6.931 -1.027
Se Pm Ga
1 2 1
direct
0.500 0.500 0.500 Se
0.248 0.248 0.256 Pm
0.752 0.752 0.744 Pm
0.000 0.000 0.000 Ga
```

Values from the calculation:
SG ... No. 166

=====

Stability summary: most stable #2, least stable #1.

=====

#1
Compound: PmGaSi2
Source: Alexandria via LeMat-Bulk
Functional: PBE
Structure: optimized geometry

```
PmGaSi2
1.0
3.148 0.000 0.000
0.000 5.304 -0.452
0.000 -2.172 4.860
Si Ga Pm
2 1 1
direct
0.500 0.054 0.447 Si
0.500 0.553 0.946 Si
0.500 0.554 0.446 Ga
0.000 0.054 0.946 Pm
```

Values from the calculation:
SG ... No. 65

=====

#2
Compound: PmGaSi2
Source: Alexandria via LeMat-Bulk
Functional: PBE
Structure: optimized geometry

```
PmGaSi2
1.0
4.970 0.000 0.000
2.485 4.305 0.000
2.485 1.435 5.933
Pm Ga Si
1 1 2
direct
0.500 0.500 0.500 Pm
0.000 0.000 0.000 Ga
0.130 0.130 0.610 Si
0.870 0.870 0.390 Si
```

Values from the calculation:
SG ... No. 166

=====

#3
Compound: PmGaSi2
Source: Alexandria via LeMat-Bulk
Functional: PBE
Structure: optimized geometry

```
PmGaSi2
1.0
4.284 0.000 0.000
0.000 4.273 0.000
0.000 0.000 4.273
Ga Pm Si
1 1 2
direct
0.500 0.000 0.000 Ga
0.500 0.500 0.500 Pm
0.000 0.500 0.000 Si
0.000 0.000 0.500 Si
```

Values from the calculation:
SG ... No. 123

=====

Stability summary: most stable #3, least stable #2.